Entry 1:
# CsSr3Ac2S6

A relaxed CsSr3Ac2S6 crystal (PBE, Alexandria via LeMat-Bulk).

Summary:
Fermi-level density of states in states/eV/cell: 5.9
Final energy in eV/atom: -5.182

Lattice parameters (Å, degrees): 18.9845 4.3558 8.8979 90.00 102.65 90.00
Space group C2/m (No. 12)
Unique sites:
Cs1 0.0000 0.0000 0.0000 (multiplicity 2)
Sr1 0.0000 0.0000 0.5000 (multiplicity 2)
Sr2 0.1616 0.5000 0.8339 (multiplicity 4)
Ac1 0.1659 0.5000 0.3330 (multiplicity 4)
S1 0.0057 0.5000 0.2827 (multiplicity 4)
S2 0.1687 0.0000 0.5829 (multiplicity 4)
S3 0.1790 0.0000 0.0973 (multiplicity 4)

Entry 2:
# NaCu3Se3

A relaxed NaCu3Se3 crystal (PBE, Alexandria via LeMat-Bulk).

Summary:
Fermi-level density of states in states/eV/cell: 11.5
Final energy in eV/atom: -3.775
Energy above the most stable polymorph in this dataset in meV/atom: 26

Lattice parameters (Å, degrees): 9.4814 9.4814 4.0140 90.00 90.00 120.00
Space group P6_3/m (No. 176)
Unique sites:
Na1 0.3333 0.6667 0.2500 (multiplicity 2)
Cu1 0.0527 0.6325 0.7500 (multiplicity 6)
Se1 0.1025 0.3995 0.7500 (multiplicity 6)

Entry 3:
# CsSnIBr6

A relaxed CsSnIBr6 crystal (PBE, Alexandria via LeMat-Bulk).

Summary:
Final energy in eV/atom: -2.588

Lattice parameters (Å, degrees): 7.2275 8.1954 8.2186 62.70 72.62 83.22
Space group P1 (No. 1)
Unique sites:
Cs1 0.0000 0.0000 0.0000 (multiplicity 1)
Sn1 0.5000 0.5000 0.4994 (multiplicity 1)
I1 0.9999 0.5002 0.9992 (multiplicity 1)
Br1 0.2220 0.3291 0.4969 (multiplicity 1)
Br2 0.2349 0.7151 0.6475 (multiplicity 1)
Br3 0.4972 0.7618 0.1626 (multiplicity 1)
Br4 0.5030 0.2383 0.8361 (multiplicity 1)
Br5 0.7651 0.2852 0.3510 (multiplicity 1)
Br6 0.7781 0.6708 0.5020 (multiplicity 1)

Entry 4:
# Dy2Cu

A relaxed Dy2Cu crystal (PBE, Alexandria via LeMat-Bulk).

Summary:
Fermi-level density of states in states/eV/cell: 10.3
Final energy in eV/atom: -4.314
Calculated formation energy in kJ/mol of formula units: 34

Lattice parameters (Å, degrees): 6.7689 6.7689 3.8171 90.00 90.00 90.00
Space group P4_2/mnm (No. 136)
Unique sites:
Dy1 0.2129 0.2129 0.0000 (multiplicity 4)
Cu1 0.0000 0.0000 0.5000 (multiplicity 2)

Entry 5:
# La3Ga2Ni4

A relaxed La3Ga2Ni4 crystal (PBE, Alexandria via LeMat-Bulk).

Summary:
Fermi-level density of states in states/eV/cell: 15.4
Final energy in eV/atom: -5.388
Calculated formation energy in kJ/mol of formula units: -437

Lattice parameters (Å, degrees): 10.2817 4.2433 8.2828 90.00 98.25 90.00
Space group C2/m (No. 12)
Unique sites:
La1 0.0000 0.0000 0.0000 (multiplicity 2)
La2 0.1250 0.5000 0.3794 (multiplicity 4)
Ga1 0.1756 0.5000 0.7875 (multiplicity 4)
Ni1 0.0832 0.0000 0.6368 (multiplicity 4)
Ni2 0.2424 0.5000 0.0871 (multiplicity 4)

Entry 6:
# SmTlP

A relaxed SmTlP crystal (PBE, Alexandria via LeMat-Bulk).

Summary:
Fermi-level density of states in states/eV/cell: 4.5
Final energy in eV/atom: -4.817
Calculated formation energy in kJ/mol of formula units: -189

Lattice parameters (Å, degrees): 4.9574 4.9574 24.2411 90.00 90.00 120.00
Space group R-3m (No. 166, hexagonal axes)
Unique sites:
Sm1 0.0000 0.0000 0.1077 (multiplicity 6)
Tl1 0.0000 0.0000 0.3534 (multiplicity 6)
P1 0.0000 0.0000 0.2219 (multiplicity 6)

Entry 7:
# KBPb

A relaxed KBPb crystal (PBE, Alexandria via LeMat-Bulk).

Summary:
Fermi-level density of states in states/eV/cell: 2.2
Final energy in eV/atom: -3.408
Calculated formation energy in kJ/mol of formula units: 122
Energy above the most stable polymorph in this dataset in meV/atom: 282

Lattice parameters (Å, degrees): 3.9362 6.3789 7.8382 78.98 75.50 72.15
Space group P1 (No. 1)
Unique sites:
K1 0.0000 0.0000 0.0000 (multiplicity 1)
K2 0.1400 0.4330 0.2860 (multiplicity 1)
B1 0.3915 0.8983 0.3197 (multiplicity 1)
B2 0.4095 0.7052 0.4767 (multiplicity 1)
Pb1 0.3919 0.4761 0.7418 (multiplicity 1)
Pb2 0.7466 0.9404 0.5691 (multiplicity 1)

Entry 8:
# Ca2Tl5Cd2

A relaxed Ca2Tl5Cd2 crystal (PBE, Alexandria via LeMat-Bulk).

Summary:
Fermi-level density of states in states/eV/cell: 19.0
Final energy in eV/atom: -2.075
Calculated formation energy in kJ/mol of formula units: -98

Lattice parameters (Å, degrees): 17.4580 9.0502 6.8750 90.00 90.00 90.00
Space group Ima2 (No. 46)
Unique sites:
Ca1 0.1344 0.0190 0.0000 (multiplicity 8)
Tl1 0.0203 0.6871 0.2163 (multiplicity 8)
Tl2 0.1524 0.0338 0.5087 (multiplicity 8)
Tl3 0.2500 0.7485 0.7539 (multiplicity 4)
Cd1 0.0000 0.0000 0.3113 (multiplicity 4)
Cd2 0.2500 0.2466 0.2515 (multiplicity 4)

> Among the records above, which one has the lowest final energy?

La3Ga2Ni4